(w)
Computed, not measured: crystalline VPt2N2 at its relaxed geometry at the PBE level of DFT.

Computed properties:
Density (g/cm3): 11.2

abc: 6.9017 6.9017 2.9279
angles: 90.00 90.00 90.00
With the nearest neighbours (Å) after each atom.
Positions (direct):
V 0.0000 0.0000 0.0000  4 Pt 2.70, 8 N 2.85, 2 V 2.93
V 0.5000 0.5000 0.0000  4 Pt 2.70, 8 N 2.85, 2 V 2.93
Pt 0.3687 0.8687 0.0000  2 N 1.98
Pt 0.8687 0.6313 0.0000  2 N 1.98
Pt 0.6313 0.1313 0.0000  2 N 1.98
Pt 0.1313 0.3687 0.0000  2 N 1.98
N 0.2320 0.7320 0.5000  2 Pt 1.98
N 0.7320 0.7680 0.5000  2 Pt 1.98
N 0.7680 0.2680 0.5000  2 Pt 1.98
N 0.2680 0.2320 0.5000  2 Pt 1.98


(x)
Computed, not measured: crystalline VPt2N2 at its relaxed geometry at the PBE level of DFT.

Computed properties:
Density (g/cm3): 12.4

abc: 3.4516 3.4516 5.8014
angles: 72.69 72.69 90.00
With the nearest neighbours (Å) after each atom.
Positions (direct):
V 0.0000 0.0000 0.0000  8 Pt 2.77
Pt 0.3749 0.3749 0.2502  4 N 2.17
Pt 0.6251 0.6251 0.7498  4 N 2.17
N 0.7500 0.2500 0.5000  4 Pt 2.17
N 0.2500 0.7500 0.5000  4 Pt 2.17


The energetic minimum among the shown structures is (x); the next structure lies 0.167 eV/atom above.